P.
# LiCa3P

Crystalline LiCa3P at its relaxed geometry (PBE, the Alexandria database).

Output
- Theoretical density: 1.7 g cm⁻³
- Volume: 626.3 Å³/cell
- Space-group type: C2/c, No. 15

abc: 20.3767 10.3332 10.3332
angles: 121.14 145.11 34.89
Sites, in units of the cell vectors:
1 Li 0.7500 0.1275 0.6275
2 Ca 0.5287 0.0110 0.2195
3 Ca 0.4328 0.8563 0.3275
4 Ca 0.5672 0.1437 0.6725
5 Ca 0.9328 0.1725 0.6437
6 Ca 0.9713 0.7195 0.5110
7 Ca 0.0287 0.2805 0.4890
8 Ca 0.0672 0.8275 0.3563
9 Ca 0.4713 0.9890 0.7805
10 Ca 0.0454 0.5358 0.9244
11 P 0.7560 0.1025 0.1688
12 Li 0.2500 0.8725 0.3725
13 Ca 0.9546 0.4642 0.0756
14 P 0.2440 0.8975 0.8312
15 Ca 0.4546 0.4244 0.0358
16 Ca 0.5454 0.5756 0.9642
17 Li 0.2500 0.6136 0.1136
18 P 0.7440 0.6688 0.6025
19 P 0.2560 0.3312 0.3975
20 Li 0.7500 0.3864 0.8864



Q.
# LiCa3P

Crystalline LiCa3P at its relaxed geometry (PBE, the Alexandria database).

Output
- Theoretical density: 1.7 g cm⁻³
- Volume: 309.8 Å³/cell
- Space-group type: R3c, No. 161

abc: 7.0462 7.0462 7.0462
angles: 72.56 72.56 72.56
Sites, in units of the cell vectors:
1 P 0.3313 0.3313 0.3313
2 Li 0.5080 0.5080 0.5080
3 Ca 0.0107 0.4782 0.6534
4 Li 0.0080 0.0080 0.0080
5 P 0.8313 0.8313 0.8313
6 Ca 0.4782 0.6534 0.0107
7 Ca 0.1534 0.9782 0.5107
8 Ca 0.9782 0.5107 0.1534
9 Ca 0.5107 0.1534 0.9782
10 Ca 0.6534 0.0107 0.4782



R.
# LiCa3P

Crystalline LiCa3P at its relaxed geometry (PBE, the Alexandria database).

Output
- Theoretical density: 1.0 g cm⁻³
- Volume: 268.3 Å³/cell
- Space-group type: Amm2, No. 38

abc: 3.9821 9.5830 9.5830
angles: 132.81 90.00 90.00
Sites, in units of the cell vectors:
1 Li 0.5000 0.0951 0.9049
2 Ca 0.0000 0.2559 0.7441
3 Ca 0.5000 0.6774 0.8123
4 Ca 0.5000 0.1877 0.3226
5 P 0.0000 0.4118 0.5882



S.
# LiCa3P

Crystalline LiCa3P at its relaxed geometry (PBE, the Alexandria database).

Output
- Theoretical density: 1.6 g cm⁻³
- Volume: 648.4 Å³/cell
- Space-group type: P2_1/c, No. 14

abc: 28.5968 7.0683 11.0033
angles: 90.00 163.05 90.00
Sites, in units of the cell vectors:
1 P 0.5422 0.7480 0.7010
2 Ca 0.7796 0.5673 0.4315
3 Ca 0.1012 0.3926 0.9395
4 Li 0.0017 0.8314 0.5708
5 Ca 0.3511 0.4209 0.2565
6 Ca 0.1489 0.9209 0.2435
7 Ca 0.6012 0.1074 0.4395
8 Li 0.9983 0.1686 0.4292
9 Ca 0.7204 0.0673 0.0685
10 P 0.9578 0.2480 0.7990
11 Ca 0.3988 0.8926 0.5605
12 Ca 0.6489 0.5791 0.7435
13 Li 0.5017 0.6686 0.0708
14 P 0.4578 0.2520 0.2990
15 Ca 0.2204 0.4327 0.5685
16 Ca 0.2796 0.9327 0.9315
17 Li 0.4983 0.3314 0.9292
18 Ca 0.8988 0.6074 0.0605
19 Ca 0.8511 0.0791 0.7565
20 P 0.0422 0.7520 0.2010



Which structure is the most stable? The one labeled S.